VASP calculation (PBE-GGA) on a relaxed structure of CdW2Se.

a = 5.578 Å, b = 5.578 Å, c = 5.578 Å
α = 148.00°, β = 129.38°, γ = 61.15°
Fractional positions:
Se  0.250  0.750  0.500
W  0.469  0.469  0.000
W  0.031  0.031  0.000
Cd  0.750  0.250  0.500

Fermi-level density of states (states/eV per atom): 0.690
Mass density (g cm⁻³): 13.18
Raw formation energy (eV/atom): 0.738

---

VASP calculation (PBE-GGA) on a relaxed structure of CoTcI2.

a = 4.774 Å, b = 4.774 Å, c = 4.774 Å
α = 60.00°, β = 60.00°, γ = 60.00°
Each line ends with the local moment (μB).
Fractional positions:
Tc  0.500  0.500  0.500  0.28
Co  0.000  0.000  0.000  1.57
I  0.750  0.750  0.750  0.03
I  0.250  0.250  0.250  0.03

Fermi-level density of states (states/eV per atom): 0.969
Mass density (g cm⁻³): 8.87
Raw formation energy (eV/atom): 1.043